Below is a relaxed structure of LiAlCrO3, with properties calculated at the GGA+U level.

* space group: P-1
* mass density: 3.2 g cm⁻³
* magnetization: 8.0 Bohr magnetons per cell
* calculated total energy: -41.68 eV per formula unit

Geometry as CIF:
```
data_LiAlCrO3
_symmetry_space_group_name_H-M 'P 1'
_symmetry_Int_Tables_number 1
_symmetry_space_group_name_Hall 'P 1'
_cell_length_a 5.665
_cell_length_b 5.794
_cell_length_c 5.794
_cell_angle_alpha 62.27
_cell_angle_beta 61.44
_cell_angle_gamma 61.39
loop_
_atom_site_label
_atom_site_type_symbol
_atom_site_fract_x
_atom_site_fract_y
_atom_site_fract_z
_atom_site_occupancy
Al1 Al 0.050 0.856 0.857 1
Al2 Al 0.950 0.144 0.143 1
Li1 Li 0.764 0.643 0.642 1
Li2 Li 0.236 0.357 0.358 1
O1 O 0.378 0.669 0.668 1
O2 O 0.622 0.331 0.332 1
O3 O 0.246 0.161 0.161 1
O4 O 0.999 0.219 0.781 1
O5 O 0.001 0.781 0.219 1
O6 O 0.754 0.839 0.839 1
Cr1 Cr 0.501 0.250 0.750 1
Cr2 Cr 0.499 0.750 0.250 1
```